Record 1
The following is a PBE calculation of a relaxed AcSnAuI crystal, from the Alexandria database.

The structure in POSCAR format:
```
AcSnAuI
1.0
-0.851 4.669 -0.257
-2.032 1.835 -3.885
-14.449 0.040 4.669
Ac Sn Au I
2 2 2 2
Cartesian
-11.291 0.538 3.253 Ac
-6.041 6.005 -2.725 Ac
-15.332 4.540 1.442 Sn
-2.001 2.004 -0.914 Sn
-3.502 4.086 -2.052 Au
-13.830 2.457 2.580 Au
-11.320 5.173 -0.357 I
-6.012 1.371 0.885 I
```

For the mass density, the calculation gives 7.6 Mg/m³. As for the total energy: -16.6 eV per formula unit. The space group is R-3m, No. 166. The value obtained for the uncorrected formation energy is -0.9105 eV/atom.

---

Record 2
The following is a PBE calculation of a relaxed Tm2InCuTe4 crystal, from the Alexandria database.

The structure in POSCAR format:
```
Tm2InCuTe4
1.0
4.304 0.000 0.000
-2.152 7.415 0.000
0.000 0.000 15.180
Tm In Cu Te
4 2 2 8
Cartesian
0.000 5.427 8.615 Tm
2.152 1.988 1.025 Tm
2.152 1.988 6.565 Tm
0.000 5.427 14.156 Tm
0.000 1.742 11.385 In
2.152 5.673 3.795 In
2.152 5.078 11.385 Cu
0.000 2.337 3.795 Cu
0.000 4.004 1.729 Te
2.152 3.411 9.320 Te
2.152 3.411 13.451 Te
0.000 4.004 5.861 Te
0.000 0.000 7.590 Te
0.000 0.000 0.000 Te
0.000 6.592 11.385 Te
2.152 0.823 3.795 Te
```

For the mass density, the calculation gives 7.0 Mg/m³. As for the total energy: -35.5 eV per formula unit. The space group is Cmcm, No. 63. The value obtained for the uncorrected formation energy is -0.8918 eV/atom.

---

Record 3
The following is a PBE calculation of a relaxed TbY8Th2 crystal, from the Alexandria database.

The structure in POSCAR format:
```
TbY8Th2
1.0
-5.331 3.249 -2.299
-2.906 -5.781 -1.431
-0.869 2.068 8.752
Tb Y Th
1 8 2
Cartesian
0.000 0.000 0.000 Tb
-4.399 2.651 5.605 Y
-3.309 -0.334 0.106 Y
-5.304 2.336 1.334 Y
-3.802 -2.800 3.688 Y
-5.797 -0.131 4.916 Y
-4.707 -3.115 -0.583 Y
-2.429 -0.352 6.355 Y
-6.677 -0.112 -1.333 Y
-2.958 0.694 3.204 Th
-6.148 -1.158 1.817 Th
```

For the mass density, the calculation gives 6.1 Mg/m³. As for the total energy: -69.2 eV per formula unit. The space group is C2/m, No. 12. The calculation puts the energy of formation at 0.1831 eV/atom.